Here is a relaxed K3Ac2SmO6 crystal from Alexandria via LeMat-Bulk. Energies are from PBE.

**ΔE_f (raw)**: -2.5893 eV per atom

abc: 6.536 6.536 6.701
angles: 99.30 99.30 120.05
Element x y z (fractional)
K 0.000 0.000 0.000
K 0.339 0.661 0.000
K 0.661 0.339 0.000
Ac 0.167 0.833 0.500
Ac 0.833 0.167 0.500
Sm 0.500 0.500 0.500
O 0.118 0.436 0.307
O 0.246 0.246 0.692
O 0.436 0.118 0.307
O 0.564 0.882 0.693
O 0.754 0.754 0.308
O 0.882 0.564 0.693



Here is a relaxed PrTh2Sb2Te2 crystal from Alexandria via LeMat-Bulk. Energies are from PBE.

**ΔE_f (raw)**: -0.5290 eV per atom

abc: 8.725 8.725 8.725
angles: 140.01 140.01 57.84
Element x y z (fractional)
Pr 0.000 0.000 0.000
Th 0.396 0.396 0.000
Th 0.604 0.604 0.000
Sb 0.000 0.500 0.500
Sb 0.500 0.000 0.500
Te 0.204 0.204 0.000
Te 0.796 0.796 0.000



Here is a relaxed CrCuHg2 crystal from Alexandria via LeMat-Bulk. Energies are from PBE.

**Energy above the lowest structure with this stoichiometry**: 5.7 kJ/mol of atoms
**Formation energy from the elements**: 0.39 eV/atom

abc: 4.769 4.769 5.341
angles: 102.16 102.16 39.22
Element x y z (fractional)
Cr 0.000 0.000 0.000
Cu 0.500 0.500 0.500
Hg 0.247 0.247 0.742
Hg 0.753 0.753 0.258



| no. | D(E_F) (states/eV per atom) |
| --- | --- |
| 1 | 0.00 |
| 2 | 0.66 |
| 3 | 0.38 |